1.
DFT (SCAN) results for a crystal of ScP2Pt relaxed with PBEsol.

a = 3.480 Å, b = 3.480 Å, c = 5.237 Å
α = 90.00°, β = 90.00°, γ = 90.00°
Sites, in units of the cell vectors:
P 0.000 0.000 0.945
P 0.500 0.500 0.315
Pt 0.000 0.000 0.430
Sc 0.500 0.500 0.810

Computed properties:
distance to the lowest polymorph of the same formula = 0.000 eV per atom
E_form = -0.826 eV per atom

2.
DFT (SCAN) results for a crystal of AlAg2Pt relaxed with PBEsol.

a = 3.836 Å, b = 3.829 Å, c = 4.211 Å
α = 90.00°, β = 90.00°, γ = 90.00°
Sites, in units of the cell vectors:
Ag 0.500 0.500 0.000
Ag 0.000 0.000 0.000
Pt 0.000 0.500 0.500
Al 0.500 0.000 0.500

Computed properties:
distance to the lowest polymorph of the same formula = 0.016 eV per atom
E_form = -0.357 eV per atom

3.
DFT (SCAN) results for a crystal of MnAsIr relaxed with PBEsol.

a = 2.871 Å, b = 2.871 Å, c = 5.415 Å
α = 105.37°, β = 105.37°, γ = 90.00°
Sites, in units of the cell vectors:
Mn 0.339 0.339 0.679
As 0.998 0.998 0.996
Ir 0.663 0.663 0.326

Computed properties:
E_form = -0.109 eV per atom

4.
DFT (SCAN) results for a crystal of CoOsCl2 relaxed with PBEsol.

a = 2.885 Å, b = 2.915 Å, c = 8.392 Å
α = 100.00°, β = 99.90°, γ = 90.00°
Sites, in units of the cell vectors:
Cl 0.021 0.021 0.042
Cl 0.223 0.723 0.445
Os 0.819 0.319 0.638
Co 0.437 0.437 0.875

Computed properties:
distance to the lowest polymorph of the same formula = 0.159 eV per atom

| no. | energy (eV per cell) |
| --- | --- |
| 1 | -108.5 |
| 2 | -142.1 |
| 3 | -109.9 |
| 4 | -103.0 |